[1]
A plane-wave DFT calculation with PBE was carried out for crystalline CdCoTeN2 at its relaxed geometry.

ΔE_f (raw), meV/atom: 1055
Distance to the lowest polymorph of the same formula, eV per formula unit: 0.00

The structure in extended XYZ format:
```
5
Lattice="-3.325 -1.175 1.658 1.785 -0.169 3.460 -1.358 5.185 0.953" Properties=species:S:1:pos:R:3 pbc="T T T"
Cd -1.449 1.920 3.036
Co 0.000 0.000 0.000
N 0.892 -0.084 1.730
N -1.663 -0.588 0.829
Te -0.679 2.593 0.477
```

[2]
A plane-wave DFT calculation with PBE was carried out for crystalline CdCoTeN2 at its relaxed geometry.

ΔE_f (raw), meV/atom: 1987
Distance to the lowest polymorph of the same formula, eV per formula unit: 4.66

The structure in extended XYZ format:
```
5
Lattice="-1.702 -3.730 -0.626 1.853 -1.421 3.427 -5.125 1.751 3.497" Properties=species:S:1:pos:R:3 pbc="T T T"
Te -2.563 0.876 1.749
Cd 0.000 0.000 0.000
N -0.851 -1.865 -0.313
N 0.927 -0.710 1.714
Co -2.487 -1.700 3.150
```